1 | La2NiH | GGA-PBE | relaxed

a = 6.6760 Å, b = 6.6760 Å, c = 6.6760 Å
α = 35.41°, β = 35.41°, γ = 35.41°
Sites, in units of the cell vectors:
La 0.2465 0.2465 0.2465
La 0.7535 0.7535 0.7535
Ni 0.0000 0.0000 0.0000
H 0.5000 0.5000 0.5000

Results
* SG: R-3m (166)
* total magnetization: 0.00 μB/cell

=====

2 | La2NiH | GGA-PBE | relaxed

a = 4.8791 Å, b = 4.8791 Å, c = 4.8791 Å
α = 60.00°, β = 60.00°, γ = 60.00°
Sites, in units of the cell vectors:
La 0.2500 0.2500 0.2500
La 0.7500 0.7500 0.7500
Ni 0.0000 0.0000 0.0000
H 0.5000 0.5000 0.5000

Results
* SG: Fm-3m (225)
* total magnetization: 0.00 μB/cell

=====

3 | La2NiH | GGA-PBE | relaxed

a = 7.6012 Å, b = 7.6012 Å, c = 7.6012 Å
α = 137.16°, β = 137.16°, γ = 62.19°
Sites, in units of the cell vectors:
La 0.0874 0.6250 0.9624
La 0.3750 0.3374 0.4624
La 0.6626 0.1250 0.0376
La 0.8750 0.9126 0.5376
Ni 0.2500 0.7500 0.5000
Ni 0.5000 0.5000 0.0000
H 0.0000 0.0000 0.0000
H 0.7500 0.2500 0.5000

Results
* SG: I-42d (122)
* total magnetization: 0.00 μB/cell

=====

Tell me which of them is the least stable. Sure, it is 2.

=====

1 | LaNi2H8 | GGA-PBE | relaxed

a = 4.4305 Å, b = 4.4305 Å, c = 4.5405 Å
α = 90.00°, β = 90.00°, γ = 116.63°
Sites, in units of the cell vectors:
La 0.0000 0.0000 0.0000
Ni 0.3294 0.6706 0.5000
Ni 0.6706 0.3294 0.5000
H 0.0224 0.2993 0.5000
H 0.2993 0.0224 0.5000
H 0.3268 0.6732 0.0000
H 0.5000 0.5000 0.2697
H 0.5000 0.5000 0.7303
H 0.6732 0.3268 0.0000
H 0.7007 0.9776 0.5000
H 0.9776 0.7007 0.5000

Results
* SG: Cmmm (65)
* total magnetization: 0.00 μB/cell

=====

2 | LaNi2H8 | GGA-PBE | relaxed

a = 5.9924 Å, b = 5.9924 Å, c = 5.9924 Å
α = 139.59°, β = 139.59°, γ = 58.47°
Sites, in units of the cell vectors:
La 0.0000 0.0000 0.0000
Ni 0.2500 0.7500 0.5000
Ni 0.7500 0.2500 0.5000
H 0.1103 0.1103 0.5566
H 0.1103 0.5536 0.0000
H 0.4464 0.4464 0.5566
H 0.4464 0.8897 0.0000
H 0.5536 0.1103 0.0000
H 0.5536 0.5536 0.4434
H 0.8897 0.4464 0.0000
H 0.8897 0.8897 0.4434

Results
* SG: I4/mmm (139)
* total magnetization: 0.00 μB/cell

=====

Tell me which of them is the least stable. Sure, it is 2.

=====

1 | La2NiH2 | GGA-PBE | relaxed

a = 6.9726 Å, b = 6.9726 Å, c = 3.3168 Å
α = 90.00°, β = 90.00°, γ = 90.00°
Sites, in units of the cell vectors:
La 0.1839 0.3161 0.0000
La 0.3161 0.8161 0.0000
La 0.6839 0.1839 0.0000
La 0.8161 0.6839 0.0000
Ni 0.0000 0.0000 0.5000
Ni 0.5000 0.5000 0.5000
H 0.1177 0.6177 0.5000
H 0.3823 0.1177 0.5000
H 0.6177 0.8823 0.5000
H 0.8823 0.3823 0.5000

Results
* SG: P4/mbm (127)
* total magnetization: 0.00 μB/cell

=====

2 | La2NiH2 | GGA-PBE | relaxed

a = 7.1138 Å, b = 7.1138 Å, c = 7.1138 Å
α = 150.10°, β = 150.10°, γ = 42.79°
Sites, in units of the cell vectors:
La 0.1328 0.1328 0.0000
La 0.8672 0.8672 0.0000
Ni 0.5000 0.5000 0.0000
H 0.2500 0.7500 0.5000
H 0.7500 0.2500 0.5000

Results
* SG: I4/mmm (139)
* total magnetization: 0.00 μB/cell

=====

Tell me which of them is the least stable. Sure, it is 1.

=====

1 | La2NiHRu | GGA-PBE | relaxed

a = 6.6167 Å, b = 3.9738 Å, c = 7.9450 Å
α = 90.00°, β = 107.51°, γ = 90.00°
Sites, in units of the cell vectors:
La 0.2256 0.2500 0.4326
La 0.2462 0.2500 0.9393
La 0.7538 0.7500 0.0607
La 0.7744 0.7500 0.5674
Ni 0.3947 0.7500 0.2282
Ni 0.6053 0.2500 0.7718
H 0.1464 0.7500 0.1650
H 0.8536 0.2500 0.8350
Ru 0.3352 0.7500 0.7138
Ru 0.6648 0.2500 0.2862

Results
* SG: P2_1/m (11)
* total magnetization: 0.00 μB/cell

=====

2 | La2NiHRu | GGA-PBE | relaxed

a = 5.1122 Å, b = 5.1122 Å, c = 3.5351 Å
α = 90.00°, β = 90.00°, γ = 90.00°
Sites, in units of the cell vectors:
La 0.0000 0.5000 0.0000
La 0.5000 0.0000 0.0000
Ni 0.0000 0.0000 0.5000
H 0.0000 0.0000 0.0000
Ru 0.5000 0.5000 0.5000

Results
* SG: P4/mmm (123)
* total magnetization: 0.00 μB/cell

=====

Tell me which of them is the least stable. Sure, it is 2.

=====

1 | La2NiSnH | GGA-PBE | relaxed

a = 6.5098 Å, b = 4.2601 Å, c = 8.6500 Å
α = 90.00°, β = 107.00°, γ = 90.00°
Sites, in units of the cell vectors:
La 0.2326 0.2500 0.4002
La 0.2451 0.2500 0.9764
La 0.7549 0.7500 0.0236
La 0.7674 0.7500 0.5998
Ni 0.4280 0.7500 0.2312
Ni 0.5720 0.2500 0.7688
Sn 0.3115 0.7500 0.7035
Sn 0.6885 0.2500 0.2965
H 0.1695 0.7500 0.1670
H 0.8305 0.2500 0.8330

Results
* SG: P2_1/m (11)
* total magnetization: 0.00 μB/cell

=====

2 | La2NiSnH | GGA-PBE | relaxed

a = 5.4359 Å, b = 5.4359 Å, c = 3.7263 Å
α = 90.00°, β = 90.00°, γ = 90.00°
Sites, in units of the cell vectors:
La 0.0000 0.5000 0.0000
La 0.5000 0.0000 0.0000
Ni 0.0000 0.0000 0.5000
Sn 0.5000 0.5000 0.5000
H 0.0000 0.0000 0.0000

Results
* SG: P4/mmm (123)
* total magnetization: 0.00 μB/cell

=====

Tell me which of them is the least stable. Sure, it is 2.

=====

1 | LaNiSnH | GGA-PBE | relaxed

a = 7.3005 Å, b = 4.4608 Å, c = 8.7067 Å
α = 90.00°, β = 90.00°, γ = 90.00°
Sites, in units of the cell vectors:
La 0.0128 0.2500 0.1885
La 0.4872 0.7500 0.6885
La 0.5128 0.2500 0.3115
La 0.9872 0.7500 0.8115
Ni 0.2189 0.7500 0.4041
Ni 0.2811 0.2500 0.9041
Ni 0.7189 0.7500 0.0959
Ni 0.7811 0.2500 0.5959
Sn 0.1541 0.2500 0.5657
Sn 0.3459 0.7500 0.0657
Sn 0.6541 0.2500 0.9343
Sn 0.8459 0.7500 0.4343
H 0.0627 0.2500 0.9189
H 0.4373 0.7500 0.4189
H 0.5627 0.2500 0.5811
H 0.9373 0.7500 0.0811

Results
* SG: Pnma (62)
* total magnetization: 0.00 μB/cell

=====

2 | LaNiSnH | GGA-PBE | relaxed

a = 4.3960 Å, b = 4.3960 Å, c = 4.5018 Å
α = 90.00°, β = 90.00°, γ = 120.00°
Sites, in units of the cell vectors:
La 0.0000 0.0000 0.0000
Ni 0.6667 0.3333 0.5758
Sn 0.3333 0.6667 0.4918
H 0.6667 0.3333 0.9274

Results
* SG: P3m1 (156)
* total magnetization: 0.00 μB/cell

=====

Tell me which of them is the least stable. Sure, it is 2.